[1]
This record from Alexandria describes Nb3Cr after structural relaxation. The functional is PBE.

Calculated values
The value obtained for the electronic total energy is -9.886 eV per atom.

Unit cell a=4.549 b=4.549 c=4.549 alpha=60.00 beta=60.00 gamma=60.00
Fractional coordinates of all 4 atoms:
Nb 0.750 0.750 0.750
Nb 0.250 0.250 0.250
Nb 0.500 0.500 0.500
Cr 0.000 0.000 0.000

---

[2]
This record from Alexandria describes CsKBiPb2 after structural relaxation. The functional is PBE.

Calculated values
The value obtained for the electronic total energy is -2.554 eV per atom.

Unit cell a=6.245 b=6.569 c=6.245 alpha=90.00 beta=90.00 gamma=90.00
Fractional coordinates of all 5 atoms:
Pb 0.000 0.000 0.500
Pb 0.500 0.000 0.000
Cs 0.500 0.500 0.500
K 0.000 0.500 0.000
Bi 0.000 0.000 0.000

---

[3]
This record from Alexandria describes K4Be after structural relaxation. The functional is PBE.

Calculated values
The value obtained for the electronic total energy is -1.157 eV per atom.

Unit cell a=8.287 b=8.287 c=8.287 alpha=93.83 beta=93.83 gamma=150.04
Fractional coordinates of all 5 atoms:
K 0.746 0.437 0.184
K 0.437 0.254 0.691
K 0.254 0.563 0.816
K 0.563 0.746 0.309
Be 0.000 0.000 0.000

---

[4]
This record from Alexandria describes Ho2ZrCu after structural relaxation. The functional is PBE.

Calculated values
The value obtained for the electronic total energy is -5.539 eV per atom.

Unit cell a=3.377 b=3.377 c=8.275 alpha=90.00 beta=90.00 gamma=90.00
Fractional coordinates of all 4 atoms:
Cu 0.500 0.500 0.000
Ho 0.000 0.000 0.782
Ho 0.000 0.000 0.218
Zr 0.500 0.500 0.500

---

[5]
This record from Alexandria describes TaSi4Mo2 after structural relaxation. The functional is PBE.

Calculated values
For the formation energy from raw total energies, the calculation gives 0.729 eV/atom.

Unit cell a=4.706 b=4.706 c=7.089 alpha=70.61 beta=70.61 gamma=90.00
Fractional coordinates of all 7 atoms:
Mo 0.403 0.403 0.193
Mo 0.597 0.597 0.807
Si 0.201 0.201 0.598
Si 0.799 0.799 0.402
Si 0.000 0.500 0.000
Si 0.500 0.000 0.000
Ta 0.000 0.000 0.000

---

[6]
This record from Alexandria describes AcAlSn2 after structural relaxation. The functional is PBE.

Calculated values
The value obtained for the electronic total energy is -4.342 eV per atom.

Unit cell a=4.937 b=4.765 c=4.765 alpha=90.00 beta=90.00 gamma=90.00
Fractional coordinates of all 4 atoms:
Ac 0.500 0.500 0.500
Sn 0.000 0.000 0.500
Sn 0.000 0.500 0.000
Al 0.500 0.000 0.000

---

[7]
This record from Alexandria describes Hf2ReSnF after structural relaxation. The functional is PBE.

Calculated values
For the formation energy from raw total energies, the calculation gives 0.892 eV/atom.

Unit cell a=5.351 b=4.003 c=5.351 alpha=90.00 beta=90.00 gamma=90.00
Fractional coordinates of all 5 atoms:
Re 0.500 0.500 0.500
Hf 0.000 0.000 0.500
Hf 0.500 0.000 0.000
Sn 0.000 0.000 0.000
F 0.000 0.500 0.000

---

[8]
This record from Alexandria describes MgPaAg after structural relaxation. The functional is PBE.

Calculated values
The value obtained for the electronic total energy is -4.470 eV per atom.

Unit cell a=3.061 b=5.035 c=5.035 alpha=120.00 beta=90.00 gamma=90.00
Last column: magnetic moment on the atom in μB.
Fractional coordinates of all 3 atoms:
Mg 0.500 0.333 0.667  0.01
Pa 0.000 0.000 0.000  1.08
Ag 0.501 0.667 0.333  0.02

---

[9]
This record from Alexandria describes PSeBr2 after structural relaxation. The functional is PBE.

Calculated values
For the formation energy from raw total energies, the calculation gives 0.595 eV/atom.

Unit cell a=8.740 b=8.740 c=8.740 alpha=24.07 beta=24.07 gamma=24.07
Fractional coordinates of all 4 atoms:
P 0.500 0.500 0.500
Se 0.000 0.000 0.000
Br 0.768 0.768 0.768
Br 0.232 0.232 0.232

---

[10]
This record from Alexandria describes RbPaPdSe4 after structural relaxation. The functional is PBE.

Calculated values
For the formation energy from raw total energies, the calculation gives -0.998 eV/atom.

Unit cell a=7.264 b=5.760 c=9.785 alpha=90.00 beta=107.69 gamma=90.00
Fractional coordinates of all 14 atoms:
Rb 0.762 0.750 0.950
Rb 0.238 0.250 0.050
Pa 0.726 0.750 0.448
Pa 0.274 0.250 0.552
Pd 0.255 0.750 0.320
Pd 0.745 0.250 0.680
Se 0.024 0.513 0.691
Se 0.976 0.013 0.309
Se 0.976 0.487 0.309
Se 0.024 0.987 0.691
Se 0.482 0.750 0.174
Se 0.518 0.250 0.826
Se 0.426 0.750 0.585
Se 0.574 0.250 0.415

---

[11]
This record from Alexandria describes CrNi4 after structural relaxation. The functional is PBE.

Calculated values
The value obtained for the electronic total energy is -6.546 eV per atom.

Unit cell a=2.470 b=3.566 c=6.556 alpha=105.78 beta=100.86 gamma=90.00
Fractional coordinates of all 5 atoms:
Cr 0.000 0.000 0.000
Ni 0.599 0.599 0.198
Ni 0.199 0.199 0.398
Ni 0.801 0.801 0.602
Ni 0.401 0.401 0.802

---

[12]
This record from Alexandria describes CaTcPt2 after structural relaxation. The functional is PBE.

Calculated values
The value obtained for the electronic total energy is -6.156 eV per atom.

Unit cell a=2.862 b=2.862 c=8.511 alpha=90.00 beta=90.00 gamma=89.99
Fractional coordinates of all 4 atoms:
Ca 0.500 0.500 0.756
Tc 0.000 0.000 0.467
Pt 0.000 0.000 0.018
Pt 0.500 0.500 0.259